# PBE Rb3SmAl2O6, relaxed
# total magnetization = 0.0 μB/f.u.
# uncorrected energy = -6.09 eV per atom
# crystal system = trigonal
# energy relative to the elements, uncorrected = -2348.6 meV per atom
# V = 245 Å³/cell
data_Rb3SmAl2O6
_cell_length_a 6.1711
_cell_length_b 6.1711
_cell_length_c 7.4280
_cell_angle_alpha 90.00
_cell_angle_beta 90.00
_cell_angle_gamma 120.00
_symmetry_space_group_name_H-M 'P -3 m 1'
_symmetry_Int_Tables_number 164
_symmetry_space_group_name_Hall '-P 3 2"'
loop_
_atom_site_label
_atom_site_type_symbol
_atom_site_fract_x
_atom_site_fract_y
_atom_site_fract_z
Rb1 Rb 0.0000 0.0000 0.0000
Rb2 Rb 0.3333 0.6667 0.7500
Sm1 Sm 0.0000 0.0000 0.5000
Al1 Al 0.3333 0.6667 0.3018
O1 O 0.1732 0.3465 0.3023

# PBE Rb3Al2SnO6, relaxed
# total magnetization = 0.0 μB/f.u.
# uncorrected energy = -5.55 eV per atom
# crystal system = trigonal
# energy relative to the elements, uncorrected = -1869.8 meV per atom
# V = 230 Å³/cell
data_Rb3Al2SnO6
_cell_length_a 5.9336
_cell_length_b 5.9336
_cell_length_c 7.5538
_cell_angle_alpha 90.00
_cell_angle_beta 90.00
_cell_angle_gamma 120.00
_symmetry_space_group_name_H-M 'P -3 m 1'
_symmetry_Int_Tables_number 164
_symmetry_space_group_name_Hall '-P 3 2"'
loop_
_atom_site_label
_atom_site_type_symbol
_atom_site_fract_x
_atom_site_fract_y
_atom_site_fract_z
Rb1 Rb 0.0000 0.0000 0.0000
Rb2 Rb 0.3333 0.6667 0.7452
Al1 Al 0.3333 0.6667 0.3161
Sn1 Sn 0.0000 0.0000 0.5000
O1 O 0.1658 0.3315 0.3275

# PBE Rb2Al2SnO6, relaxed
# total magnetization = 0.0 μB/f.u.
# uncorrected energy = -5.97 eV per atom
# crystal system = trigonal
# energy relative to the elements, uncorrected = -2050.1 meV per atom
# V = 547 Å³/cell
data_Rb2Al2SnO6
_cell_length_a 5.8341
_cell_length_b 5.8341
_cell_length_c 18.5651
_cell_angle_alpha 90.00
_cell_angle_beta 90.00
_cell_angle_gamma 120.00
_symmetry_space_group_name_H-M 'R -3 m'
_symmetry_Int_Tables_number 166
_symmetry_space_group_name_Hall '-R 3 2"'
loop_
_atom_site_label
_atom_site_type_symbol
_atom_site_fract_x
_atom_site_fract_y
_atom_site_fract_z
Rb1 Rb 0.0000 0.0000 0.2030
Al1 Al 0.0000 0.0000 0.3945
Sn1 Sn 0.0000 0.0000 0.0000
O1 O 0.0037 0.5018 0.7347

# PBE RbAlSnO4, relaxed
# total magnetization = 0.0 μB/f.u.
# uncorrected energy = -6.08 eV per atom
# crystal system = monoclinic
# energy relative to the elements, uncorrected = -2003.6 meV per atom
# V = 225 Å³/cell
data_RbAlSnO4
_cell_length_a 5.449
_cell_length_b 5.677
_cell_length_c 7.430
_cell_angle_alpha 90.00
_cell_angle_beta 101.83
_cell_angle_gamma 90.00
_symmetry_space_group_name_H-M 'P 1 21/m 1'
_symmetry_Int_Tables_number 11
loop_
_symmetry_equiv_pos_as_xyz
'x,y,z'
'-x,-y,-z'
'-x,y+1/2,-z'
'x,-y+1/2,z'
loop_
_atom_site_label
_atom_site_type_symbol
_atom_site_fract_x
_atom_site_fract_y
_atom_site_fract_z
Rb1 Rb 0.178 0.250 0.089
Al1 Al 0.380 0.250 0.651
Sn1 Sn 0.169 0.750 0.465
O1 O 0.147 0.022 0.662
O2 O 0.308 0.750 0.218
O3 O 0.452 0.250 0.430

# PBE RbSrAl2O, relaxed
# total magnetization = 0.0 μB/f.u.
# uncorrected energy = -2.35 eV per atom
# crystal system = tetragonal
# energy relative to the elements, uncorrected = 666.0 meV per atom
# V = 167 Å³/cell
data_RbSrAl2O
_cell_length_a 5.956
_cell_length_b 5.956
_cell_length_c 4.713
_cell_angle_alpha 90.00
_cell_angle_beta 90.00
_cell_angle_gamma 90.00
_symmetry_space_group_name_H-M 'P 4/m m m'
_symmetry_Int_Tables_number 123
_symmetry_space_group_name_Hall '-P 4 2'
loop_
_atom_site_label
_atom_site_type_symbol
_atom_site_fract_x
_atom_site_fract_y
_atom_site_fract_z
Rb1 Rb 0.000 0.000 0.000
Sr1 Sr 0.500 0.500 0.500
Al1 Al 0.000 0.500 0.000
O1 O 0.000 0.000 0.500

# PBE RbSrAlO3, relaxed
# total magnetization = 0.0 μB/f.u.
# uncorrected energy = -5.80 eV per atom
# crystal system = monoclinic
# energy relative to the elements, uncorrected = -2254.2 meV per atom
# V = 401 Å³/cell
data_RbSrAlO3
_cell_length_a 13.573
_cell_length_b 3.845
_cell_length_c 7.980
_cell_angle_alpha 90.00
_cell_angle_beta 105.72
_cell_angle_gamma 90.00
_symmetry_space_group_name_H-M 'C 1 2/m 1'
_symmetry_Int_Tables_number 12
loop_
_symmetry_equiv_pos_as_xyz
'x,y,z'
'-x,-y,-z'
'-x,y,-z'
'x,-y,z'
'x+1/2,y+1/2,z'
'-x+1/2,-y+1/2,-z'
'-x+1/2,y+1/2,-z'
'x+1/2,-y+1/2,z'
loop_
_atom_site_label
_atom_site_type_symbol
_atom_site_fract_x
_atom_site_fract_y
_atom_site_fract_z
Rb1 Rb 0.151 0.000 0.069
Sr1 Sr 0.158 0.000 0.585
Al1 Al 0.008 0.500 0.292
O1 O 0.008 0.000 0.312
O2 O 0.130 0.500 0.782
O3 O 0.147 0.500 0.353

# PBE RbTa2AlO, relaxed
# total magnetization = 0.0 μB/f.u.
# ΔE to the lowest computed polymorph = 0 meV/atom
# uncorrected energy = -6.18 eV per atom
# crystal system = tetragonal
# energy relative to the elements, uncorrected = 489.7 meV per atom
# V = 103 Å³/cell
data_RbTa2AlO
_cell_length_a 4.259
_cell_length_b 4.259
_cell_length_c 5.671
_cell_angle_alpha 90.00
_cell_angle_beta 90.00
_cell_angle_gamma 90.00
_symmetry_space_group_name_H-M 'P 4/m m m'
_symmetry_Int_Tables_number 123
_symmetry_space_group_name_Hall '-P 4 2'
loop_
_atom_site_label
_atom_site_type_symbol
_atom_site_fract_x
_atom_site_fract_y
_atom_site_fract_z
Rb1 Rb 0.000 0.000 0.000
Ta1 Ta 0.000 0.500 0.500
Al1 Al 0.500 0.500 0.000
O1 O 0.500 0.500 0.500

# PBE RbTaAl2O, relaxed
# total magnetization = 0.0 μB/f.u.
# uncorrected energy = -2.13 eV per atom
# crystal system = tetragonal
# energy relative to the elements, uncorrected = 2925.8 meV per atom
# V = 161 Å³/cell
data_RbTaAl2O
_cell_length_a 5.571
_cell_length_b 5.571
_cell_length_c 5.189
_cell_angle_alpha 90.00
_cell_angle_beta 90.00
_cell_angle_gamma 90.00
_symmetry_space_group_name_H-M 'P 4/m m m'
_symmetry_Int_Tables_number 123
_symmetry_space_group_name_Hall '-P 4 2'
loop_
_atom_site_label
_atom_site_type_symbol
_atom_site_fract_x
_atom_site_fract_y
_atom_site_fract_z
Rb1 Rb 0.000 0.000 0.000
Ta1 Ta 0.000 0.000 0.500
Al1 Al 0.000 0.500 0.000
O1 O 0.500 0.500 0.500